[1]
Density functional theory data (meta-GGA SCAN) for Hf2TiSi2 at its PBEsol-relaxed geometry.

Lattice parameters (Å, degrees): 3.6719 6.7559 6.7559 90.00 90.00 90.00
With the nearest neighbours (Å) after each atom.
Fractional coordinates of all 10 atoms:
Hf  0.5000  0.6740  0.8260  6 Si 2.65-2.76
Hf  0.5000  0.3260  0.1740  6 Si 2.65-2.76
Ti  0.0000  0.0000  0.0000  4 Si 2.66
Si  0.0000  0.6263  0.1263  1 Si 2.41, 2 Hf 2.65, 2 Ti 2.66
Si  0.0000  0.8737  0.6263  1 Si 2.41, 2 Hf 2.65, 2 Ti 2.66
Si  0.0000  0.3737  0.8737  1 Si 2.41, 2 Hf 2.65, 2 Ti 2.66
Ti  0.0000  0.5000  0.5000  4 Si 2.66
Hf  0.5000  0.1740  0.6740  6 Si 2.65-2.76
Hf  0.5000  0.8260  0.3260  6 Si 2.65-2.76
Si  0.0000  0.1263  0.3737  1 Si 2.41, 2 Hf 2.65, 2 Ti 2.66

Calculated values
**Total magnetic moment**: 0.00 μB/cell
**V**: 168 Å³ per cell
**Energy**: -33.078 eV per atom


[2]
Density functional theory data (meta-GGA SCAN) for SrReIrSe2 at its PBEsol-relaxed geometry.

Lattice parameters (Å, degrees): 4.9877 5.3944 5.3944 90.00 90.00 90.00
With the nearest neighbours (Å) after each atom.
Fractional coordinates of all 5 atoms:
Re  0.5000  0.5000  0.5000  8 Se 3.67, 4 Ir 3.81
Se  0.0000  0.5000  0.0000  2 Sr 2.70
Sr  0.0000  0.0000  0.0000  2 Ir 2.49, 4 Se 2.70
Ir  0.5000  0.0000  0.0000  2 Sr 2.49
Se  0.0000  0.0000  0.5000  2 Sr 2.70

Calculated values
**Total magnetic moment**: 2.59 μB/cell
**V**: 145 Å³ per cell
**Energy**: -38.673 eV per atom


[3]
Density functional theory data (meta-GGA SCAN) for TlOs3Au at its PBEsol-relaxed geometry.

Lattice parameters (Å, degrees): 4.8182 4.8182 4.8182 90.00 90.00 90.00
With the nearest neighbours (Å) after each atom.
Fractional coordinates of all 5 atoms:
Os  0.0000  0.5000  0.0000  2 Au 2.41
Os  0.0000  0.0000  0.5000  2 Au 2.41
Au  0.0000  0.0000  0.0000  6 Os 2.41
Os  0.5000  0.0000  0.0000  2 Au 2.41
Tl  0.5000  0.5000  0.5000  12 Os 3.41

Calculated values
**Total magnetic moment**: 6.24 μB/cell
**DFT formation energy**: 2.84 eV/atom
**V**: 112 Å³ per cell


[4]
Density functional theory data (meta-GGA SCAN) for CaScSb2 at its PBEsol-relaxed geometry.

Lattice parameters (Å, degrees): 3.3251 5.5363 5.5363 90.95 96.65 96.65
With the nearest neighbours (Å) after each atom.
Fractional coordinates of all 4 atoms:
Sb  0.0000  0.5000  0.0000  4 Sc 3.06-3.39, 4 Ca 3.06-3.39, 2 Sb 3.33
Sb  0.0000  0.0000  0.5000  4 Ca 3.06-3.39, 4 Sc 3.06-3.39, 2 Sb 3.33
Sc  0.5000  0.0000  0.0000  8 Sb 3.06-3.39, 2 Sc 3.33
Ca  0.5000  0.5000  0.5000  8 Sb 3.06-3.39, 2 Ca 3.33

Calculated values
**Total magnetic moment**: 0.00 μB/cell
**V**: 101 Å³ per cell
**Energy**: -25.353 eV per atom